*one*
A relaxed structure of ZnPNF2, computed with PBE.

Values from the calculation:
The space group is No. 123.

a = 4.4682 Å, b = 4.4682 Å, c = 3.2396 Å
α = 90.00°, β = 90.00°, γ = 90.00°
Atoms (fractional coordinates):
F  0.0000  0.5000  0.0000
F  0.5000  0.0000  0.0000
N  0.0000  0.0000  0.5000
P  0.0000  0.0000  0.0000
Zn  0.5000  0.5000  0.5000

---

*two*
A relaxed structure of ZnPNF2, computed with PBE.

Values from the calculation:
The space group is No. 123.

a = 3.7016 Å, b = 3.7016 Å, c = 4.9986 Å
α = 90.00°, β = 90.00°, γ = 90.00°
Atoms (fractional coordinates):
Zn  0.0000  0.0000  0.0000
N  0.0000  0.0000  0.5000
F  0.0000  0.5000  0.0000
F  0.5000  0.0000  0.0000
P  0.5000  0.5000  0.5000

---

We find *one* to be the most stable, with the next structure 0.376 eV/atom higher.

---

*one*
A relaxed structure of ZrPN2F, computed with PBE.

Values from the calculation:
The space group is No. 123.

a = 3.7603 Å, b = 3.7603 Å, c = 3.7549 Å
α = 90.00°, β = 90.00°, γ = 90.00°
Atoms (fractional coordinates):
P  0.0000  0.0000  0.0000
N  0.0000  0.5000  0.0000
N  0.5000  0.0000  0.0000
F  0.0000  0.0000  0.5000
Zr  0.5000  0.5000  0.5000

---

*two*
A relaxed structure of ZrPN2F, computed with PBE.

Values from the calculation:
The space group is No. 123.

a = 4.3071 Å, b = 4.3071 Å, c = 4.0347 Å
α = 90.00°, β = 90.00°, γ = 90.00°
Atoms (fractional coordinates):
P  0.5000  0.5000  0.5000
Zr  0.0000  0.0000  0.0000
N  0.5000  0.0000  0.0000
N  0.0000  0.5000  0.0000
F  0.0000  0.0000  0.5000

---

We find *one* to be the most stable, with the next structure 0.165 eV/atom higher.

---

*one*
A relaxed structure of Pa2NF, computed with PBE.

Values from the calculation:
The space group is No. 123.

a = 3.0260 Å, b = 3.0260 Å, c = 6.9885 Å
α = 90.00°, β = 90.00°, γ = 90.00°
Atoms (fractional coordinates):
Pa  0.0000  0.0000  0.2902
Pa  0.0000  0.0000  0.7098
F  0.5000  0.5000  0.0000
N  0.5000  0.5000  0.5000

---

*two*
A relaxed structure of Pa2NF, computed with PBE.

Values from the calculation:
The space group is No. 166.

a = 3.2456 Å, b = 3.2456 Å, c = 7.2854 Å
α = 77.13°, β = 77.13°, γ = 60.00°
Atoms (fractional coordinates):
F  0.5000  0.5000  0.5000
N  0.0000  0.0000  0.0000
Pa  0.2617  0.2617  0.2148
Pa  0.7383  0.7383  0.7852

---

We find *two* to be the most stable, with the next structure 0.861 eV/atom higher.

---

*one*
A relaxed structure of PbNF2, computed with PBE.

Values from the calculation:
The space group is No. 225.

a = 4.3717 Å, b = 4.3717 Å, c = 4.3717 Å
α = 60.00°, β = 60.00°, γ = 60.00°
Atoms (fractional coordinates):
Pb  0.5000  0.5000  0.5000
F  0.2500  0.2500  0.2500
F  0.7500  0.7500  0.7500
N  0.0000  0.0000  0.0000

---

*two*
A relaxed structure of PbNF2, computed with PBE.

Values from the calculation:
The space group is No. 166.

a = 7.8542 Å, b = 7.8542 Å, c = 7.8542 Å
α = 28.36°, β = 28.36°, γ = 28.36°
Atoms (fractional coordinates):
Pb  0.5000  0.5000  0.5000
F  0.8802  0.8802  0.8802
F  0.1198  0.1198  0.1198
N  0.0000  0.0000  0.0000

---

We find *one* to be the most stable, with the next structure 0.026 eV/atom higher.